Computed, not measured: a relaxed structure of Te3AsPt at the PBE-GGA level of DFT.

Summary:
E above lowest polymorph: 0.00 eV/f.u.
SG: Pm-3m (221)
Fermi-level density of states: 5.29 states/eV per cell
DFT total energy: -17.33 eV/cell
formation energy without anion corrections: 0.5567 eV per atom

```
Te3AsPt
1.0
5.269 0.000 0.000
0.000 5.269 0.000
0.000 0.000 5.269
Te Pt As
3 1 1
direct
0.500 0.000 0.000
0.000 0.500 0.000
0.000 0.000 0.500
0.000 0.000 0.000
0.500 0.500 0.500
```

***

Computed, not measured: a relaxed structure of YCr2Rh at the PBE-GGA level of DFT.

Summary:
formation energy from the elements: 0.406 eV per atom
E above lowest polymorph: 1.36 eV/f.u.
SG: R3m (160)
Fermi-level density of states: 5.02 states/eV per cell
DFT total energy: -31.44 eV/cell

```
YCr2Rh
1.0
-4.677 -6.446 -3.196
-3.336 -7.853 -0.917
-5.837 -6.275 -0.440
Rh Y Cr
1 1 2
direct
0.489 0.489 0.489
0.250 0.250 0.250
0.017 0.017 0.017
0.744 0.744 0.744
```

***

Computed, not measured: a relaxed structure of Th3Tc2Ge3 at the PBE-GGA level of DFT.

Summary:
formation energy from the elements: -0.531 eV per atom
E above lowest polymorph: 0.00 eV/f.u.
SG: Pnma (62)
Fermi-level density of states: 30.62 states/eV per cell
DFT total energy: -244.38 eV/cell

```
Th3Tc2Ge3
1.0
5.797 0.000 0.000
0.000 8.274 0.000
0.000 0.000 14.881
Th Tc Ge
12 8 12
direct
0.389 0.966 0.112
0.389 0.966 0.388
0.611 0.034 0.888
0.111 0.466 0.112
0.123 0.182 0.750
0.111 0.466 0.388
0.889 0.534 0.612
0.611 0.034 0.612
0.623 0.318 0.250
0.377 0.682 0.750
0.877 0.818 0.250
0.889 0.534 0.888
0.903 0.074 0.405
0.597 0.574 0.095
0.597 0.574 0.405
0.097 0.926 0.595
0.097 0.926 0.905
0.403 0.426 0.905
0.903 0.074 0.095
0.403 0.426 0.595
0.631 0.295 0.463
0.369 0.705 0.963
0.631 0.295 0.037
0.131 0.205 0.963
0.399 0.669 0.250
0.601 0.331 0.750
0.869 0.795 0.463
0.899 0.831 0.750
0.131 0.205 0.537
0.869 0.795 0.037
0.101 0.169 0.250
0.369 0.705 0.537
```

***

Computed, not measured: a relaxed structure of Hg2SbRh at the PBE-GGA level of DFT.

Summary:
SG: I-42d (122)
Fermi-level density of states: 0.02 states/eV per cell
DFT total energy: -23.48 eV/cell
formation energy without anion corrections: 0.0838 eV per atom

```
Hg2SbRh
1.0
-8.983 5.415 -0.117
-1.096 -2.039 -10.231
-6.286 -0.369 -4.630
Rh Hg Sb
2 4 2
direct
0.250 0.750 0.500
0.500 0.500 0.000
0.875 0.626 0.750
0.375 0.624 0.750
0.376 0.125 0.250
0.374 0.625 0.250
0.750 0.250 0.500
0.000 0.000 0.000
```

***

Computed, not measured: a relaxed structure of KPO4 at the PBE-GGA level of DFT.

Summary:
SG: I-42d (122)
Fermi-level density of states: 5.82 states/eV per cell
DFT total energy: -69.91 eV/cell
formation energy without anion corrections: -1.4357 eV per atom

```
KPO4
1.0
3.009 -0.310 6.102
-6.423 -2.197 -0.547
3.651 -4.121 -4.009
O K P
8 2 2
direct
0.521 0.971 0.687
0.966 0.779 0.050
0.729 0.916 0.950
0.029 0.716 0.550
0.221 0.271 0.187
0.084 0.034 0.813
0.284 0.834 0.313
0.166 0.479 0.450
0.500 0.500 0.000
0.750 0.250 0.500
0.250 0.750 0.500
0.000 0.000 0.000
```

***

Computed, not measured: a relaxed structure of ZnOF3 at the PBE-GGA level of DFT.

Summary:
E above lowest polymorph: 2.64 eV/f.u.
SG: Pm-3m (221)
Fermi-level density of states: 5.26 states/eV per cell
DFT total energy: -15.95 eV/cell
formation energy without anion corrections: -0.8215 eV per atom

```
ZnOF3
1.0
3.978 0.000 0.000
0.000 3.978 0.000
0.000 0.000 3.978
F O Zn
3 1 1
direct
0.500 0.000 0.000
0.000 0.000 0.500
0.000 0.500 0.000
0.500 0.500 0.500
0.000 0.000 0.000
```

***

Computed, not measured: a relaxed structure of Ac4PtRh at the PBE-GGA level of DFT.

Summary:
formation energy from the elements: -0.667 eV per atom
E above lowest polymorph: 0.00 eV/f.u.
SG: I-4m2 (119)
Fermi-level density of states: 4.42 states/eV per cell
DFT total energy: -33.83 eV/cell

```
Ac4PtRh
1.0
-4.077 -4.384 -0.967
1.133 0.259 -5.951
5.958 -2.256 4.125
Ac Rh Pt
4 1 1
direct
0.264 0.264 0.528
0.994 0.494 0.988
0.506 0.006 0.012
0.736 0.736 0.472
0.500 0.500 0.000
0.750 0.250 0.500
```

***

Computed, not measured: a relaxed structure of K3La3HoTe8 at the PBE-GGA level of DFT.

Summary:
SG: C2/m (12)
Fermi-level density of states: 11.59 states/eV per cell
DFT total energy: -68.43 eV/cell
formation energy without anion corrections: -1.3761 eV per atom

```
K3La3HoTe8
1.0
-0.343 3.268 8.628
1.157 -9.051 -1.464
7.660 6.028 -1.980
La K Te Ho
3 3 8 1
direct
0.500 0.000 0.500
0.500 0.500 0.500
0.000 0.500 0.500
0.500 0.500 0.000
0.000 0.500 0.000
0.000 0.000 0.000
0.770 0.022 0.292
0.230 0.978 0.708
0.748 0.978 0.708
0.770 0.540 0.292
0.252 0.022 0.292
0.230 0.460 0.708
0.261 0.521 0.282
0.739 0.479 0.718
0.000 0.000 0.500
```

***

Computed, not measured: a relaxed structure of Li5Nd4Au6 at the PBE-GGA level of DFT.

Summary:
formation energy from the elements: -0.570 eV per atom
SG: Cmc2_1 (36)
Fermi-level density of states: 18.58 states/eV per cell
DFT total energy: -113.71 eV/cell

```
Li5Nd4Au6
1.0
-3.749 -1.715 0.674
6.453 -8.674 0.883
1.509 2.667 15.179
Nd Au Li
8 12 10
direct
0.182 0.364 0.939
0.011 0.021 0.511
0.842 0.685 0.802
0.967 0.934 0.275
0.033 0.066 0.775
0.158 0.315 0.302
0.818 0.636 0.439
0.989 0.979 0.011
0.219 0.437 0.481
0.578 0.157 0.912
0.429 0.857 0.135
0.115 0.229 0.112
0.571 0.143 0.635
0.781 0.563 0.981
0.442 0.884 0.862
0.885 0.771 0.612
0.240 0.480 0.760
0.422 0.843 0.412
0.558 0.116 0.362
0.760 0.520 0.260
0.840 0.681 0.129
0.561 0.121 0.170
0.663 0.327 0.762
0.337 0.673 0.262
0.160 0.319 0.629
0.355 0.710 0.992
0.645 0.290 0.492
0.305 0.610 0.614
0.439 0.879 0.670
0.695 0.390 0.114
```

***

Computed, not measured: a relaxed structure of Ba2NpO6 at the PBE-GGA level of DFT.

Summary:
E above lowest polymorph: 0.40 eV/f.u.
SG: Immm (71)
DFT total energy: -69.03 eV/cell
formation energy without anion corrections: -2.4992 eV per atom

```
Ba2NpO6
1.0
4.435 0.000 -0.178
0.000 5.825 0.000
-1.979 -2.912 5.952
O Ba Np
6 2 1
direct
0.128 0.351 0.257
0.872 0.095 0.743
0.500 0.178 0.000
0.872 0.649 0.743
0.128 0.905 0.257
0.500 0.822 0.000
0.338 0.338 0.676
0.662 0.662 0.324
0.000 0.000 0.000
```

***

Computed, not measured: a relaxed structure of Sr2CaScV at the PBE-GGA level of DFT.

Summary:
formation energy from the elements: 0.838 eV per atom
SG: P4/mmm (123)
Fermi-level density of states: 5.02 states/eV per cell
DFT total energy: -16.62 eV/cell

```
Sr2CaScV
1.0
-4.000 -2.727 -4.121
-0.285 -3.746 2.756
-4.926 2.618 3.050
Sr Sc Ca V
2 1 1 1
direct
0.000 0.000 0.500
0.500 0.000 0.000
0.000 0.000 0.000
0.500 0.500 0.500
0.000 0.500 0.000
```

***

Computed, not measured: a relaxed structure of BiPt at the PBE-GGA level of DFT.

Summary:
formation energy from the elements: -0.219 eV per atom
SG: P2_1/m (11)
Fermi-level density of states: 2.39 states/eV per cell
DFT total energy: -20.72 eV/cell

```
BiPt
1.0
-1.311 2.912 -2.319
-2.631 1.217 3.015
4.435 1.896 3.104
Pt Bi
2 2
direct
0.097 0.750 0.178
0.903 0.250 0.822
0.353 0.750 0.712
0.647 0.250 0.288
```

***

Computed, not measured: a relaxed structure of Pr2NdDyHo5 at the PBE-GGA level of DFT.

Summary:
formation energy from the elements: 0.262 eV per atom
SG: I4/mcm (140)
Fermi-level density of states: 20.47 states/eV per cell
DFT total energy: -78.91 eV/cell

```
Pr2NdDyHo5
1.0
8.717 0.000 0.000
0.000 8.717 0.000
-4.358 -4.358 7.806
Ho Pr Nd Dy
10 4 2 2
direct
0.572 0.650 0.722
0.650 0.150 0.722
0.850 0.928 0.278
0.000 0.000 0.000
0.072 0.572 0.722
0.428 0.350 0.278
0.928 0.428 0.278
0.150 0.072 0.722
0.500 0.500 0.000
0.350 0.850 0.278
0.382 0.882 0.000
0.882 0.618 0.000
0.118 0.382 0.000
0.618 0.118 0.000
0.250 0.250 0.500
0.750 0.750 0.500
0.250 0.750 0.500
0.750 0.250 0.500
```

***

Computed, not measured: a relaxed structure of NaGaAsI2 at the PBE-GGA level of DFT.

Summary:
E above lowest polymorph: 0.87 eV/f.u.
SG: P4/mmm (123)
Fermi-level density of states: 2.23 states/eV per cell
DFT total energy: -12.09 eV/cell
formation energy without anion corrections: 0.0010 eV per atom

```
NaGaAsI2
1.0
-1.999 -2.275 -5.164
4.173 -3.349 -0.140
-3.171 -4.078 3.024
I Ga As Na
2 1 1 1
direct
0.500 0.000 0.000
0.000 0.000 0.500
0.500 0.500 0.500
0.000 0.000 0.000
0.000 0.500 0.000
```

***

Computed, not measured: a relaxed structure of Pm7Y12Ho at the PBE-GGA level of DFT.

Summary:
formation energy from the elements: 0.235 eV per atom
E above lowest polymorph: 0.00 eV/f.u.
SG: R-3 (148)
Fermi-level density of states: 38.41 states/eV per cell
DFT total energy: -110.71 eV/cell

```
Pm7Y12Ho
1.0
-5.786 -6.062 2.789
6.074 -4.699 4.362
-1.488 4.056 7.703
Y Pm Ho
12 7 1
direct
0.385 0.864 0.503
0.503 0.385 0.864
0.136 0.497 0.615
0.145 0.747 0.271
0.864 0.503 0.385
0.615 0.136 0.497
0.729 0.855 0.253
0.253 0.729 0.855
0.747 0.271 0.145
0.497 0.615 0.136
0.271 0.145 0.747
0.855 0.253 0.729
0.847 0.603 0.923
0.153 0.397 0.077
0.923 0.847 0.603
0.500 0.500 0.500
0.603 0.923 0.847
0.077 0.153 0.397
0.397 0.077 0.153
0.000 0.000 0.000
```

***

Computed, not measured: a relaxed structure of ZnH3N at the PBE-GGA level of DFT.

Summary:
E above lowest polymorph: 0.00 eV/f.u.
SG: R3m (160)
DFT total energy: -19.96 eV/cell

```
ZnH3N
1.0
-5.713 -0.719 -2.795
2.746 -3.183 0.092
-2.697 -2.918 1.376
N H Zn
1 3 1
direct
0.135 0.000 0.000
0.986 0.738 0.000
0.248 0.262 0.738
0.986 0.000 0.262
0.519 0.000 0.000
```

***

Computed, not measured: a relaxed structure of Li6BiPb at the PBE-GGA level of DFT.

Summary:
formation energy from the elements: -0.345 eV per atom
SG: P-6m2 (187)
Fermi-level density of states: 2.69 states/eV per cell
DFT total energy: -21.83 eV/cell

```
Li6BiPb
1.0
-1.868 -3.363 3.037
4.315 -3.932 -1.700
0.964 3.720 4.712
Li Bi Pb
6 1 1
direct
0.500 0.923 0.077
0.500 0.403 0.076
0.000 0.094 0.422
0.000 0.578 0.422
0.000 0.578 0.906
0.500 0.924 0.597
0.500 0.417 0.583
0.000 0.083 0.917
```

***

Computed, not measured: a relaxed structure of AcPIr at the PBE-GGA level of DFT.

Summary:
formation energy from the elements: -0.354 eV per atom
E above lowest polymorph: 2.28 eV/f.u.
SG: I4mm (107)
Fermi-level density of states: 3.15 states/eV per cell
DFT total energy: -19.44 eV/cell

```
AcPIr
1.0
-2.912 -1.462 -1.041
-0.594 -1.088 3.188
-0.955 5.903 0.001
Ir P Ac
1 1 1
direct
0.713 0.713 0.426
0.285 0.285 0.569
0.002 0.002 0.005
```

***

Computed, not measured: a relaxed structure of TbTl2SnS4 at the PBE-GGA level of DFT.

Summary:
SG: P2/m (10)
Fermi-level density of states: 3.37 states/eV per cell
DFT total energy: -37.18 eV/cell
formation energy without anion corrections: -0.9133 eV per atom

```
TbTl2SnS4
1.0
-1.934 -3.455 0.419
-0.150 -0.861 -7.782
5.858 -3.497 -1.804
Tb S Sn Tl
1 4 1 2
direct
0.000 0.500 0.500
0.500 0.698 0.265
0.000 0.701 0.767
0.000 0.299 0.233
0.500 0.302 0.735
0.500 0.500 0.000
0.000 0.000 0.000
0.500 0.000 0.500
```

***

Computed, not measured: a relaxed structure of FeIrPb at the PBE-GGA level of DFT.

Summary:
formation energy from the elements: 0.356 eV per atom
E above lowest polymorph: 0.00 eV/f.u.
SG: F-43m (216)
Fermi-level density of states: 1.37 states/eV per cell
DFT total energy: -19.96 eV/cell

```
FeIrPb
1.0
-3.515 -0.425 -2.598
-1.092 -3.946 -1.589
-3.592 -2.047 1.482
Pb Fe Ir
1 1 1
direct
0.000 0.000 0.000
0.500 0.500 0.500
0.750 0.750 0.750
```